{"formula": "Pr4Nd11Tm9", "functional": "PBE", "state": "optimized geometry", "e_tot_ev_per_cell": -110.17, "delta_e_f_ev_per_fu": 1.6, "cell": [[8.4702, -12.8170, 0.0000], [8.4702, 12.8170, 0.0000], [0.0000, 0.0000, 3.7229]], "species": ["Pr", "Pr", "Pr", "Pr", "Nd", "Nd", "Nd", "Nd", "Nd", "Nd", "Nd", "Nd", "Nd", "Nd", "Nd", "Tm", "Tm", "Tm", "Tm", "Tm", "Tm", "Tm", "Tm", "Tm"], "frac_coords": [[0.0550, 0.2560, 0.0000], [0.2560, 0.0550, 0.0000], [0.7440, 0.9450, 0.0000], [0.9450, 0.7440, 0.0000], [0.0942, 0.4566, 0.5000], [0.1342, 0.8658, 0.5000], [0.2120, 0.2120, 0.5000], [0.3402, 0.6598, 0.5000], [0.4566, 0.0942, 0.5000], [0.5000, 0.5000, 0.5000], [0.5434, 0.9058, 0.5000], [0.6598, 0.3402, 0.5000], [0.7880, 0.7880, 0.5000], [0.8658, 0.1342, 0.5000], [0.9058, 0.5434, 0.5000], [0.0000, 0.0000, 0.0000], [0.1344, 0.6637, 0.0000], [0.2897, 0.4360, 0.0000], [0.3363, 0.8656, 0.0000], [0.4360, 0.2897, 0.0000], [0.5640, 0.7103, 0.0000], [0.6637, 0.1344, 0.0000], [0.7103, 0.5640, 0.0000], [0.8656, 0.3363, 0.0000]]}